(w)
Entry from the Open Quantum Materials Database: an optimized crystal structure of LiScAlNi (PBE).

```
data_LiScAlNi
_chemical_formula_sum 'Li4 Sc4 Al4 Ni4'
_symmetry_space_group_name_H-M 'F -4 3 m'
_symmetry_Int_Tables_number 216
_symmetry_space_group_name_Hall 'F -4 2 3'
_cell_length_a 6.202
_cell_length_b 6.202
_cell_length_c 6.202
_cell_angle_alpha 90.00
_cell_angle_beta 90.00
_cell_angle_gamma 90.00
loop_
_atom_site_label
_atom_site_type_symbol
_atom_site_fract_x
_atom_site_fract_y
_atom_site_fract_z
Li1 Li 0.000 0.000 0.000
Sc1 Sc 0.250 0.250 0.250
Al1 Al 0.000 0.000 0.500
Ni1 Ni 0.250 0.250 0.750
```



(x)
Entry from the Open Quantum Materials Database: an optimized crystal structure of LiScAlNi (PBE).

```
data_LiScAlNi
_chemical_formula_sum 'Li4 Sc4 Al4 Ni4'
_symmetry_space_group_name_H-M 'F -4 3 m'
_symmetry_Int_Tables_number 216
_symmetry_space_group_name_Hall 'F -4 2 3'
_cell_length_a 6.278
_cell_length_b 6.278
_cell_length_c 6.278
_cell_angle_alpha 90.00
_cell_angle_beta 90.00
_cell_angle_gamma 90.00
loop_
_atom_site_label
_atom_site_type_symbol
_atom_site_fract_x
_atom_site_fract_y
_atom_site_fract_z
Li1 Li 0.000 0.000 0.000
Sc1 Sc 0.000 0.000 0.500
Al1 Al 0.250 0.250 0.250
Ni1 Ni 0.250 0.250 0.750
```



Which structure above is the least stable? It is (x).